The following is a PBE calculation of crystalline ZrAgTe2 at its relaxed geometry, from OQMD via LeMat-Bulk.

Lattice parameters (Å, degrees): 5.144 5.144 5.144 60.00 60.00 60.00
Element x y z (fractional)
Ag (0.750, 0.750, 0.750)
Te (0.250, 0.250, 0.250)
Te (0.500, 0.500, 0.500)
Zr (0.000, 0.000, 0.000)

total magnetic moment: 0.010 μB per atom
electronic total energy: -17.228 eV for the cell shown